Entry from Alexandria: a relaxed LaTmOsAu crystal (PBE).

Unit cell a=7.127 b=7.127 c=7.127 alpha=90.00 beta=90.00 gamma=90.00
Space group F-43m (No. 216)
Unique sites:
La (0.000, 0.000, 0.000) (multiplicity 4)
Tm (0.000, 0.000, 0.500) (multiplicity 4)
Os (0.250, 0.250, 0.250) (multiplicity 4)
Au (0.250, 0.250, 0.750) (multiplicity 4)

Results
Formation enthalpy at 0 K: -379 meV per atom
Energy: -0.4671 Ry per atom

=====

Entry from Alexandria: a relaxed Ce2TmSn2 crystal (PBE).

Unit cell a=6.796 b=11.966 c=8.032 alpha=90.00 beta=109.30 gamma=90.00
Space group C2/c (No. 15)
Unique sites:
Ce (0.112, 0.083, 0.423) (multiplicity 8)
Tm (0.000, 0.409, 0.750) (multiplicity 4)
Sn (0.000, 0.161, 0.750) (multiplicity 4)
Sn (0.000, 0.333, 0.250) (multiplicity 4)

Results
Formation enthalpy at 0 K: -85 meV per atom
Energy: -0.3641 Ry per atom
Relative energy among the computed polymorphs: 0.237 eV per atom

=====

Entry from Alexandria: a relaxed NaAlSiO4 crystal (PBE).

Unit cell a=13.0357 b=13.0357 c=15.7807 alpha=90.00 beta=90.00 gamma=120.00
Space group R3c (No. 161, hexagonal axes)
Unique sites:
Na (0.0340, 0.5151, 0.0000) (multiplicity 18)
Al (0.0899, 0.4210, 0.6708) (multiplicity 18)
Si (0.0005, 0.2508, 0.5036) (multiplicity 18)
O (0.0325, 0.3597, 0.0760) (multiplicity 18)
O (0.0353, 0.3607, 0.5697) (multiplicity 18)
O (0.0993, 0.2104, 0.4962) (multiplicity 18)
O (0.1923, 0.3989, 0.2029) (multiplicity 18)

Results
Energy: -0.5190 Ry per atom
Relative energy among the computed polymorphs: 0.021 eV per atom

=====

Entry from Alexandria: a relaxed CaAlH3 crystal (PBE).

Unit cell a=4.220 b=4.220 c=4.220 alpha=90.00 beta=90.00 gamma=90.00
Space group Pm-3m (No. 221)
Unique sites:
Ca (0.000, 0.000, 0.000) (multiplicity 1)
Al (0.500, 0.500, 0.500) (multiplicity 1)
H (0.000, 0.000, 0.500) (multiplicity 3)

Results
Energy: -0.2181 Ry per atom
Relative energy among the computed polymorphs: 0.186 eV per atom

=====

Entry from Alexandria: a relaxed GdHoHg2 crystal (PBE).

Unit cell a=3.711 b=3.711 c=7.521 alpha=90.00 beta=90.00 gamma=90.00
Space group P4/mmm (No. 123)
Unique sites:
Gd (0.000, 0.000, 0.000) (multiplicity 1)
Ho (0.000, 0.000, 0.500) (multiplicity 1)
Hg (0.500, 0.500, 0.260) (multiplicity 2)

Results
Formation enthalpy at 0 K: -495 meV per atom
Energy: -0.3903 Ry per atom
Relative energy among the computed polymorphs: 0.000 eV per atom

=====

Entry from Alexandria: a relaxed SrY2BiN crystal (PBE).

Unit cell a=4.829 b=4.829 c=5.370 alpha=90.00 beta=90.00 gamma=90.00
Space group P4/mmm (No. 123)
Unique sites:
Sr (0.000, 0.000, 0.000) (multiplicity 1)
Y (0.000, 0.500, 0.500) (multiplicity 2)
Bi (0.500, 0.500, 0.000) (multiplicity 1)
N (0.000, 0.000, 0.500) (multiplicity 1)

Results
Energy: -0.4573 Ry per atom

=====

Entry from Alexandria: a relaxed NbHRh3 crystal (PBE).

Unit cell a=5.676 b=9.707 c=4.495 alpha=90.00 beta=91.48 gamma=90.00
Space group C2/c (No. 15)
Unique sites:
Nb (0.000, 0.154, 0.250) (multiplicity 4)
H (0.250, 0.250, 0.000) (multiplicity 4)
Rh (0.000, 0.335, 0.750) (multiplicity 4)
Rh (0.243, 0.419, 0.251) (multiplicity 8)

Results
Energy: -0.5496 Ry per atom
Relative energy among the computed polymorphs: 0.034 eV per atom

=====

Entry from Alexandria: a relaxed Zr2ScSi2Ru5 crystal (PBE).

Unit cell a=9.828 b=9.828 c=3.282 alpha=90.00 beta=90.00 gamma=90.00
Space group P4/mbm (No. 127)
Unique sites:
Zr (0.174, 0.326, 0.000) (multiplicity 4)
Sc (0.000, 0.000, 0.000) (multiplicity 2)
Si (0.126, 0.626, 0.000) (multiplicity 4)
Ru (0.000, 0.500, 0.500) (multiplicity 2)
Ru (0.069, 0.788, 0.500) (multiplicity 8)

Results
Energy: -0.6451 Ry per atom

=====

Entry from Alexandria: a relaxed Nd3InSe crystal (PBE).

Unit cell a=9.267 b=4.190 c=15.949 alpha=90.00 beta=90.00 gamma=90.00
Space group Pnma (No. 62)
Unique sites:
Nd (0.027, 0.250, 0.112) (multiplicity 4)
Nd (0.157, 0.250, 0.528) (multiplicity 4)
Nd (0.178, 0.750, 0.289) (multiplicity 4)
In (0.102, 0.750, 0.686) (multiplicity 4)
Se (0.173, 0.250, 0.947) (multiplicity 4)

Results
Energy: -0.3679 Ry per atom

=====

Entry from Alexandria: a relaxed AlHgPb2 crystal (PBE).

Unit cell a=7.566 b=7.566 c=7.566 alpha=90.00 beta=90.00 gamma=90.00
Space group Fm-3m (No. 225)
Unique sites:
Al (0.000, 0.000, 0.000) (multiplicity 4)
Hg (0.000, 0.000, 0.500) (multiplicity 4)
Pb (0.250, 0.250, 0.250) (multiplicity 8)

Results
Formation enthalpy at 0 K: 180 meV per atom
Energy: -0.1974 Ry per atom
Relative energy among the computed polymorphs: 0.058 eV per atom

=====

Entry from Alexandria: a relaxed Hf3AlSe6 crystal (PBE).

Unit cell a=10.9107 b=10.9107 c=13.6854 alpha=90.00 beta=90.00 gamma=120.00
Space group R-3 (No. 148, hexagonal axes)
Unique sites:
Hf (0.0515, 0.5992, 0.3798) (multiplicity 18)
Al (0.0000, 0.0000, 0.0000) (multiplicity 3)
Al (0.0000, 0.0000, 0.5000) (multiplicity 3)
Se (0.0023, 0.1982, 0.1057) (multiplicity 18)
Se (0.0362, 0.8431, 0.3773) (multiplicity 18)

Results
Energy: -0.4704 Ry per atom

=====

Entry from Alexandria: a relaxed NbPPtO2 crystal (PBE).

Unit cell a=3.902 b=3.902 c=4.881 alpha=90.00 beta=90.00 gamma=90.00
Space group P4/mmm (No. 123)
Unique sites:
Nb (0.000, 0.000, 0.000) (multiplicity 1)
P (0.500, 0.500, 0.000) (multiplicity 1)
Pt (0.500, 0.500, 0.500) (multiplicity 1)
O (0.000, 0.500, 0.500) (multiplicity 2)

Results
Energy: -0.4484 Ry per atom
Relative energy among the computed polymorphs: 1.121 eV per atom

=====

What is the energy in the sixth record?
-0.4573 Ry per atom

=====

Look up the energy of the eighth one.
-0.6451 Ry per atom